No. 1
DFT (PBE-GGA) results for crystalline HfMgPO at its relaxed geometry.

a = 3.734 Å, b = 3.734 Å, c = 8.322 Å
α = 90.00°, β = 90.00°, γ = 90.00°
Space group P4/nmm (No. 129, origin choice 2)
Inequivalent atoms, fractional coordinates:
1 Hf 0.250 0.250 0.137
2 Mg 0.250 0.750 0.500
3 P 0.250 0.250 0.709
4 O 0.250 0.750 0.000

## Properties
The value obtained for the relative energy among the computed polymorphs is 0.207 eV per atom. The volume is 116.0 Å³ per cell.

=====

No. 2
DFT (PBE-GGA) results for crystalline HfMgPO at its relaxed geometry.

a = 3.533 Å, b = 6.093 Å, c = 6.113 Å
α = 90.00°, β = 90.00°, γ = 90.00°
Space group Pmc2_1 (No. 26)
Inequivalent atoms, fractional coordinates:
1 Hf 0.000 0.026 0.000
2 Mg 0.500 0.388 0.336
3 P 0.500 0.212 0.733
4 O 0.000 0.245 0.265

## Properties
The value obtained for the relative energy among the computed polymorphs is 0.000 eV per atom. The volume is 131.6 Å³ per cell.

=====

No. 3
DFT (PBE-GGA) results for crystalline HfMgSO2 at its relaxed geometry.

a = 3.590 Å, b = 3.590 Å, c = 5.735 Å
α = 90.00°, β = 90.00°, γ = 90.00°
Space group P4mm (No. 99)
Inequivalent atoms, fractional coordinates:
1 Hf 0.000 0.000 0.000
2 Mg 0.500 0.500 0.333
3 S 0.500 0.500 0.753
4 O 0.000 0.500 0.183

## Properties
The raw total energy comes out at -38.4 eV for the cell shown. The volume is 73.9 Å³ per cell.

=====

No. 4
DFT (PBE-GGA) results for crystalline HfMgOs at its relaxed geometry.

a = 6.321 Å, b = 6.321 Å, c = 6.321 Å
α = 90.00°, β = 90.00°, γ = 90.00°
Space group F-43m (No. 216)
Inequivalent atoms, fractional coordinates:
1 Hf 0.000 0.000 0.000
2 Mg 0.250 0.250 0.750
3 Os 0.250 0.250 0.250

## Properties
The raw total energy comes out at -84.1 eV for the cell shown. The volume is 252.6 Å³ per cell.

=====

No. 5
DFT (PBE-GGA) results for crystalline HfMgOsPb at its relaxed geometry.

a = 6.686 Å, b = 6.686 Å, c = 6.686 Å
α = 90.00°, β = 90.00°, γ = 90.00°
Space group F-43m (No. 216)
Inequivalent atoms, fractional coordinates:
1 Hf 0.000 0.000 0.000
2 Mg 0.250 0.250 0.250
3 Os 0.250 0.250 0.750
4 Pb 0.000 0.000 0.500

## Properties
The value obtained for the relative energy among the computed polymorphs is 0.000 eV per atom. The volume is 298.9 Å³ per cell.

=====

No. 6
DFT (PBE-GGA) results for crystalline HfMgOsPb at its relaxed geometry.

a = 6.756 Å, b = 6.756 Å, c = 6.756 Å
α = 90.00°, β = 90.00°, γ = 90.00°
Space group F-43m (No. 216)
Inequivalent atoms, fractional coordinates:
1 Hf 0.000 0.000 0.000
2 Mg 0.000 0.000 0.500
3 Os 0.250 0.250 0.250
4 Pb 0.250 0.250 0.750

## Properties
The value obtained for the relative energy among the computed polymorphs is 0.067 eV per atom. The volume is 308.3 Å³ per cell.